Arrangement A

Entry from Alexandria: crystalline Li2Zn7Ni2 at its relaxed geometry (PBE).

Computed properties:
V (Å³/f.u.): 152.1

abc: 4.1784 6.4888 6.8081
angles: 118.46 107.87 90.00
Fractional coordinates of all 11 atoms:
1 Ni 0.0000 0.6359 0.0000
2 Ni 0.5000 0.3102 0.0000
3 Li 0.2856 0.9181 0.5712
4 Li 0.7144 0.3469 0.4288
5 Zn 0.6425 0.7474 0.2849
6 Zn 0.1245 0.4476 0.2489
7 Zn 0.5000 0.9267 0.0000
8 Zn 0.8755 0.1987 0.7511
9 Zn 0.8626 0.7926 0.7252
10 Zn 0.3575 0.4625 0.7151
11 Zn 0.1374 0.0674 0.2748


Arrangement B

Entry from Alexandria: crystalline Li2Zn7Ni2 at its relaxed geometry (PBE).

Computed properties:
V (Å³/f.u.): 169.1

abc: 5.0135 7.7658 5.0135
angles: 90.00 119.95 90.00
Fractional coordinates of all 11 atoms:
1 Li 0.7000 0.0000 0.3000
2 Li 0.3000 0.0000 0.7000
3 Zn 0.0000 0.0000 0.0000
4 Zn 0.5000 0.3284 0.0000
5 Zn 0.5000 0.7667 0.5000
6 Zn 0.5000 0.2333 0.5000
7 Zn 0.0000 0.6716 0.5000
8 Zn 0.5000 0.6716 0.0000
9 Zn 0.0000 0.3284 0.5000
10 Ni 0.2310 0.5000 0.2310
11 Ni 0.7690 0.5000 0.7690


Which is most stable? The ranking, best first, is arrangement A, arrangement B.


Arrangement A

Entry from Alexandria: crystalline Li3Zn3Ni2 at its relaxed geometry (PBE).

Computed properties:
V (Å³/f.u.): 111.1

abc: 2.6310 6.9840 6.9840
angles: 120.00 90.00 90.00
Fractional coordinates of all 8 atoms:
1 Ni 0.0000 0.3333 0.6667
2 Ni 0.0000 0.6667 0.3333
3 Zn 0.5000 0.4062 0.4062
4 Zn 0.5000 0.0000 0.5938
5 Zn 0.5000 0.5938 0.0000
6 Li 0.0000 0.2485 0.0000
7 Li 0.0000 0.0000 0.2485
8 Li 0.0000 0.7515 0.7515


Arrangement B

Entry from Alexandria: crystalline Li3Zn3Ni2 at its relaxed geometry (PBE).

Computed properties:
V (Å³/f.u.): 105.4

abc: 3.8709 3.8238 7.6326
angles: 75.19 75.36 90.03
Fractional coordinates of all 8 atoms:
1 Zn 0.6397 0.1378 0.7206
2 Zn 0.5000 0.5000 0.0000
3 Zn 0.3603 0.8622 0.2794
4 Ni 0.2499 0.2503 0.5000
5 Ni 0.7501 0.7497 0.5000
6 Li 0.1353 0.6341 0.7292
7 Li 0.0000 0.0000 0.0000
8 Li 0.8647 0.3659 0.2708


Which is most stable? The ranking, best first, is arrangement A, arrangement B.


Arrangement A

Entry from Alexandria: crystalline LiZn6Ni2 at its relaxed geometry (PBE).

Computed properties:
V (Å³/f.u.): 154.2

abc: 5.2418 5.2418 6.4797
angles: 90.00 90.00 120.00
Fractional coordinates of all 9 atoms:
1 Zn 0.0000 0.4999 0.2051
2 Zn 0.4999 0.0000 0.2051
3 Zn 0.0000 0.5001 0.7949
4 Zn 0.5001 0.0000 0.7949
5 Zn 0.4999 0.4999 0.7949
6 Zn 0.5001 0.5001 0.2051
7 Li 0.0000 0.0000 0.0000
8 Ni 0.6667 0.3333 0.5000
9 Ni 0.3333 0.6667 0.5000


Arrangement B

Entry from Alexandria: crystalline LiZn6Ni2 at its relaxed geometry (PBE).

Computed properties:
V (Å³/f.u.): 118.2

abc: 4.1839 4.1837 7.7974
angles: 90.00 90.00 120.00
Fractional coordinates of all 9 atoms:
1 Ni 0.3333 0.6667 0.7334
2 Ni 0.6667 0.3333 0.2666
3 Zn 0.0000 0.0000 0.8159
4 Zn 0.3333 0.6667 0.4042
5 Zn 0.6667 0.3333 0.5958
6 Zn 0.6667 0.3333 0.9340
7 Zn 0.0000 0.0000 0.1841
8 Zn 0.3333 0.6667 0.0660
9 Li 0.0000 0.0000 0.5000


Which is most stable? The ranking, best first, is arrangement B, arrangement A.


Arrangement A

Entry from Alexandria: crystalline Li2ZrNi at its relaxed geometry (PBE).

Computed properties:
V (Å³/f.u.): 60.9

abc: 4.4085 4.4085 4.4239
angles: 60.03 60.03 60.16
Fractional coordinates of all 4 atoms:
1 Li 0.0002 0.0002 0.9994
2 Li 0.7501 0.7501 0.7500
3 Ni 0.4999 0.4999 0.5003
4 Zr 0.2499 0.2499 0.2504


Arrangement B

Entry from Alexandria: crystalline Li2ZrNi at its relaxed geometry (PBE).

Computed properties:
V (Å³/f.u.): 75.4

abc: 8.9867 8.9867 8.9867
angles: 20.16 20.16 20.16
Fractional coordinates of all 4 atoms:
1 Li 0.2369 0.2369 0.2369
2 Li 0.9986 0.9986 0.9986
3 Ni 0.4996 0.4996 0.4996
4 Zr 0.7649 0.7649 0.7649


Which is most stable? The ranking, best first, is arrangement A, arrangement B.


Arrangement A

Entry from Alexandria: crystalline Li2ZrNi at its relaxed geometry (PBE).

Computed properties:
V (Å³/f.u.): 64.9

abc: 3.4977 3.7933 4.8933
angles: 90.00 90.00 90.00
Fractional coordinates of all 4 atoms:
1 Zr 0.0000 0.5000 0.5000
2 Ni 0.5000 0.0000 0.5000
3 Li 0.0000 0.0000 0.0000
4 Li 0.5000 0.5000 0.0000


Arrangement B

Entry from Alexandria: crystalline Li2ZrNi at its relaxed geometry (PBE).

Computed properties:
V (Å³/f.u.): 69.6

abc: 3.2007 3.2459 7.4474
angles: 64.13 90.00 90.00
Fractional coordinates of all 4 atoms:
1 Zr 0.5000 0.8061 0.6936
2 Li 0.0000 0.9653 0.0348
3 Li 0.5000 0.2321 0.2683
4 Ni 0.0000 0.4964 0.5033


Which is most stable? The ranking, best first, is arrangement B, arrangement A.


Arrangement A

Entry from Alexandria: crystalline LiZrNi at its relaxed geometry (PBE).

Computed properties:
V (Å³/f.u.): 47.3

abc: 4.6126 8.7786 4.6691
angles: 90.00 90.00 90.00
Fractional coordinates of all 12 atoms:
1 Ni 0.0000 0.5974 0.5411
2 Ni 0.5000 0.9026 0.0411
3 Ni 0.0000 0.4026 0.0411
4 Ni 0.5000 0.0974 0.5411
5 Zr 0.5000 0.7795 0.5409
6 Zr 0.5000 0.2205 0.0409
7 Zr 0.0000 0.2795 0.5409
8 Zr 0.0000 0.7205 0.0409
9 Li 0.0000 0.9521 0.5380
10 Li 0.5000 0.5479 0.0380
11 Li 0.0000 0.0479 0.0380
12 Li 0.5000 0.4521 0.5380


Arrangement B

Entry from Alexandria: crystalline LiZrNi at its relaxed geometry (PBE).

Computed properties:
V (Å³/f.u.): 47.8

abc: 3.4266 6.9401 12.0744
angles: 93.28 90.00 90.00
Fractional coordinates of all 18 atoms:
1 Li 0.2500 0.0140 0.0798
2 Li 0.2500 0.3908 0.2050
3 Li 0.2500 0.8838 0.4602
4 Li 0.7500 0.6092 0.7950
5 Li 0.7500 0.9860 0.9202
6 Li 0.7500 0.1162 0.5398
7 Ni 0.2500 0.7204 0.9243
8 Ni 0.2500 0.7732 0.2499
9 Ni 0.7500 0.2796 0.0757
10 Ni 0.7500 0.2268 0.7501
11 Ni 0.7500 0.7253 0.5899
12 Ni 0.2500 0.2747 0.4101
13 Zr 0.2500 0.4467 0.6193
14 Zr 0.2500 0.3393 0.9136
15 Zr 0.7500 0.6607 0.0864
16 Zr 0.2500 0.9303 0.7192
17 Zr 0.7500 0.0697 0.2808
18 Zr 0.7500 0.5533 0.3807


Which is most stable? The ranking, best first, is arrangement A, arrangement B.


Arrangement A

Entry from Alexandria: crystalline LiZrNi at its relaxed geometry (PBE).

Computed properties:
V (Å³/f.u.): 54.1

abc: 4.2444 4.2444 4.2444
angles: 60.00 60.00 60.00
Fractional coordinates of all 3 atoms:
1 Zr 0.0000 0.0000 0.0000
2 Li 0.5000 0.5000 0.5000
3 Ni 0.2500 0.2500 0.2500


Arrangement B

Entry from Alexandria: crystalline LiZrNi at its relaxed geometry (PBE).

Computed properties:
V (Å³/f.u.): 48.1

abc: 4.6286 3.2017 6.8797
angles: 90.00 109.46 90.00
Fractional coordinates of all 6 atoms:
1 Li 0.8667 0.0000 0.2569
2 Li 0.0160 0.5000 0.5522
3 Zr 0.2195 0.0000 0.9681
4 Zr 0.5475 0.0000 0.6170
5 Ni 0.3886 0.5000 0.2917
6 Ni 0.7019 0.5000 0.9382


Which is most stable? The ranking, best first, is arrangement B, arrangement A.


Arrangement A

Entry from Alexandria: crystalline LiZrNi at its relaxed geometry (PBE).

Computed properties:
V (Å³/f.u.): 55.2

abc: 4.2746 4.2746 4.2746
angles: 60.00 60.00 60.00
Fractional coordinates of all 3 atoms:
1 Ni 0.5000 0.5000 0.5000
2 Zr 0.2500 0.2500 0.2500
3 Li 0.0000 0.0000 0.0000


Arrangement B

Entry from Alexandria: crystalline LiZrNi at its relaxed geometry (PBE).

Computed properties:
V (Å³/f.u.): 48.8

abc: 6.9304 3.2681 10.3611
angles: 90.00 123.68 90.00
Fractional coordinates of all 12 atoms:
1 Ni 0.0767 0.0000 0.2303
2 Ni 0.6646 0.0000 0.2195
3 Ni 0.0767 0.5000 0.7303
4 Ni 0.6646 0.5000 0.7195
5 Li 0.4387 0.5000 0.9994
6 Li 0.8021 0.0000 0.5358
7 Li 0.4387 0.0000 0.4994
8 Li 0.8021 0.5000 0.0358
9 Zr 0.3778 0.5000 0.2407
10 Zr 0.0160 0.0000 0.9043
11 Zr 0.0160 0.5000 0.4043
12 Zr 0.3778 0.0000 0.7407


Arrangement C

Entry from Alexandria: crystalline LiZrNi at its relaxed geometry (PBE).

Computed properties:
V (Å³/f.u.): 47.4

abc: 4.3106 9.0143 4.8845
angles: 90.00 90.00 90.00
Fractional coordinates of all 12 atoms:
1 Li 0.5000 0.5000 0.5000
2 Li 0.0000 0.0000 0.0000
3 Li 0.5000 0.5000 0.0000
4 Li 0.0000 0.0000 0.5000
5 Ni 0.5000 0.8982 0.2500
6 Ni 0.5000 0.1018 0.7500
7 Ni 0.0000 0.6018 0.7500
8 Ni 0.0000 0.3982 0.2500
9 Zr 0.0000 0.2971 0.7500
10 Zr 0.5000 0.2029 0.2500
11 Zr 0.5000 0.7971 0.7500
12 Zr 0.0000 0.7029 0.2500


Which is most stable? The ranking, best first, is arrangement C, arrangement B, arrangement A.